Record 1
Material: Ac6PIr2Br2
Method: DFT, PBE
State: optimized geometry

```
Ac6PIr2Br2
1.0
7.667 0.071 0.124
-3.728 6.700 0.124
-1.355 -2.329 7.681
Ac Ir P Br
6 2 1 2
direct
0.931 0.592 0.295
0.287 0.287 0.295
0.408 0.069 0.705
0.069 0.408 0.705
0.713 0.713 0.705
0.592 0.931 0.295
0.330 0.670 0.500
0.670 0.330 0.500
0.000 0.000 0.500
0.838 0.162 0.000
0.162 0.838 0.000
```

- Symmetry: C2/m (12)
- Formation energy without anion corrections: -1.056 eV/atom



Record 2
Material: Ac6P2Ir3Br
Method: DFT, PBE
State: optimized geometry

```
Ac6P2Ir3Br
1.0
-2.548 -2.050 2.884
-4.454 -3.977 -6.761
8.558 -4.989 0.719
Ir Ac P Br
3 6 2 1
direct
0.164 0.830 0.327
0.836 0.170 0.673
0.500 0.500 0.000
0.003 0.724 0.006
0.335 0.416 0.669
0.323 0.921 0.645
0.665 0.584 0.331
0.997 0.276 0.994
0.677 0.079 0.355
0.164 0.323 0.327
0.836 0.677 0.673
0.500 0.000 0.000
```

- Symmetry: C2/m (12)
- Formation energy without anion corrections: -0.998 eV/atom



Record 3
Material: Ac4IrPbBr2
Method: DFT, PBE
State: optimized geometry

```
Ac4IrPbBr2
1.0
4.518 0.000 0.000
0.000 8.311 0.236
0.000 -2.821 7.877
Br Ac Ir Pb
2 4 1 1
direct
0.000 0.500 0.500
0.500 0.000 0.500
0.000 0.712 0.202
0.500 0.274 0.211
0.500 0.726 0.789
0.000 0.288 0.798
0.500 0.500 0.000
0.000 0.000 0.000
```

- Symmetry: P2/m (10)
- Formation energy without anion corrections: -1.009 eV/atom



Record 4
Material: Ac8Ir3PdBr3
Method: DFT, PBE
State: optimized geometry

```
Ac8Ir3PdBr3
1.0
8.803 0.000 0.000
-4.402 7.616 -0.026
0.000 -5.045 8.057
Br Ac Pd Ir
3 8 1 3
direct
0.000 0.500 0.000
0.500 0.500 0.000
0.000 0.000 0.000
0.733 0.466 0.698
0.761 0.038 0.300
0.277 0.038 0.300
0.239 0.962 0.700
0.267 0.534 0.302
0.761 0.523 0.300
0.723 0.962 0.700
0.239 0.477 0.700
0.000 0.000 0.500
0.500 0.500 0.500
0.000 0.500 0.500
0.500 0.000 0.500
```

- Symmetry: C2/m (12)
- Formation energy without anion corrections: -1.045 eV/atom